VASP calculation (GGA-PBE) on an optimized crystal structure of Rb6F5.

Output
**Crystal system**: monoclinic
**E_form (uncorrected)**: -2.37 eV per atom

a = 7.1688 Å, b = 7.1688 Å, c = 7.1659 Å
α = 99.69°, β = 99.69°, γ = 119.92°
With the nearest neighbours (Å) after each atom.
Positions (direct):
Rb1 0.0651 0.4143 0.7457  5 F 2.82-2.97
Rb2 0.2387 0.2387 0.2629  5 F 2.79-2.94
Rb3 0.4143 0.0651 0.7457  5 F 2.82-2.97
Rb4 0.5857 0.9349 0.2543  5 F 2.82-2.97
Rb5 0.7613 0.7613 0.7371  5 F 2.79-2.94
Rb6 0.9349 0.5857 0.2543  5 F 2.82-2.97
F1 0.0000 0.0000 0.5000  6 Rb 2.79-2.95
F2 0.1675 0.8325 0.0000  6 Rb 2.89-2.94
F3 0.3338 0.6662 0.5000  6 Rb 2.82-2.97
F4 0.6662 0.3338 0.5000  6 Rb 2.82-2.97
F5 0.8325 0.1675 0.0000  6 Rb 2.89-2.94

***

VASP calculation (GGA-PBE) on an optimized crystal structure of TaPb2.

Output
**Crystal system**: tetragonal
**Final energy**: -36.4 eV/cell

a = 5.8359 Å, b = 5.8359 Å, c = 5.8359 Å
α = 103.71°, β = 103.71°, γ = 121.73°
With the nearest neighbours (Å) after each atom.
Positions (direct):
Ta1 0.2500 0.2500 0.0000  2 Ta 2.84, 8 Pb 3.06
Ta2 0.7500 0.7500 0.0000  2 Ta 2.84, 8 Pb 3.06
Pb1 0.1610 0.6610 0.8220  4 Ta 3.06, 3 Pb 3.28-3.37
Pb2 0.3390 0.1610 0.5000  4 Ta 3.06, 3 Pb 3.28-3.37
Pb3 0.6610 0.8390 0.5000  4 Ta 3.06, 3 Pb 3.28-3.37
Pb4 0.8390 0.3390 0.1780  4 Ta 3.06, 3 Pb 3.28-3.37

***

VASP calculation (GGA-PBE) on an optimized crystal structure of Cs2NaPbCl6.

Output
**Crystal system**: cubic
**E_form (uncorrected)**: -1.52 eV per atom

a = 7.7874 Å, b = 7.7874 Å, c = 7.7874 Å
α = 60.00°, β = 60.00°, γ = 60.00°
With the nearest neighbours (Å) after each atom.
Positions (direct):
Cs1 0.2500 0.2500 0.2500  12 Cl 3.89
Cs2 0.7500 0.7500 0.7500  12 Cl 3.89
Na1 0.0000 0.0000 0.0000  6 Cl 2.78
Pb1 0.5000 0.5000 0.5000  6 Cl 2.72
Cl1 0.2529 0.2529 0.7471  1 Pb 2.72, 1 Na 2.78
Cl2 0.2529 0.7471 0.2529  1 Pb 2.72, 1 Na 2.78
Cl3 0.2529 0.7471 0.7471  1 Pb 2.72, 1 Na 2.78
Cl4 0.7471 0.2529 0.2529  1 Pb 2.72, 1 Na 2.78
Cl5 0.7471 0.2529 0.7471  1 Pb 2.72, 1 Na 2.78
Cl6 0.7471 0.7471 0.2529  1 Pb 2.72, 1 Na 2.78

***

Asked for ρ across the records above, the calculation gives 3.36 13.39 3.52 g/cm3 in order.